# 1
{
  "formula": "RePbAu2",
  "functional": "meta-GGA SCAN",
  "state": "single point on PBEsol structure",
  "lattice_angstrom": [[-2.1887, -2.0244, -0.0146], [0.6011, -2.8404, -0.6779], [1.1305, -3.4829, 9.0402]],
  "species": ["Au", "Pb", "Au", "Re"],
  "frac_coords": [[0.9970, 0.9970, 0.0091], [0.5043, 0.5043, 0.4872], [0.7419, 0.7419, 0.7743], [0.2569, 0.2569, 0.2294]],
  "final_energy_ev_per_cell": -282.70,
  "space_group": "No. 160"
}

***

# 2
{
  "formula": "YSbPb4",
  "functional": "meta-GGA SCAN",
  "state": "single point on PBEsol structure",
  "lattice_angstrom": [[-3.5934, -3.2712, 3.9920], [-5.1612, -2.9242, -2.0884], [-0.1440, -6.2790, -0.3213]],
  "species": ["Sb", "Pb", "Pb", "Y", "Pb", "Pb"],
  "frac_coords": [[0.7500, 0.7500, 0.7500], [0.3748, 0.8756, 0.3748], [0.3748, 0.3748, 0.8756], [0.0000, 0.0000, 0.0000], [0.3748, 0.3748, 0.3748], [0.8756, 0.3748, 0.3748]],
  "space_group": "No. 216",
  "formation_energy_uncorrected_mev_per_atom": -5
}